VASP calculation (PBE) on crystalline Ce5YPb6 at its relaxed geometry.

Geometry as POSCAR:
```
Ce5YPb6
1.0
3.926 -6.802 0.000
3.926 6.802 0.000
-2.619 0.000 7.405
Ce Y Pb
5 1 6
Cartesian
0.000 0.000 0.000
2.616 4.533 3.702
3.926 2.260 0.000
3.926 -2.260 0.000
2.616 -4.533 3.702
2.616 0.000 3.702
1.303 2.276 1.849
-0.013 0.000 5.555
1.303 -2.276 1.849
3.930 2.276 5.556
5.245 0.000 1.850
3.930 -2.276 5.556
```

Values from the calculation:
**Relative energy among the computed polymorphs**: 94 meV per atom
**Volume**: 395.4 Å³/f.u.
**Energy**: -0.1902 Ha/atom
**Energy relative to the elements**: -0.31 eV/atom
**Fermi-level density of states**: 1.392 states/eV per atom